! CeTmCu2, optimized geometry, DFT PBE; values from VASP
! Energy relative to the lowest polymorph listed for this composition (eV per atom): 0.018
! E_tot (eV per atom): -4.7961
! Symmetry: Fm-3m
! V (Å³/atom): 21.02
&SYSTEM
  ibrav = 0, nat = 4, ntyp = 3
/
ATOMIC_SPECIES
Ce 140.12 Ce.upf
Cu 63.55 Cu.upf
Tm 168.93 Tm.upf
ATOMIC_POSITIONS crystal
Ce 0.0000 0.0000 0.0000
Cu 0.7500 0.7500 0.7500
Cu 0.2500 0.2500 0.2500
Tm 0.5000 0.5000 0.5000
CELL_PARAMETERS angstrom
4.9173 0.0000 0.0000
2.4586 4.2585 0.0000
2.4586 1.4195 4.0150

***

! CeTmCu2, optimized geometry, DFT PBE; values from VASP
! Energy relative to the lowest polymorph listed for this composition (eV per atom): 0.008
! E_tot (eV per atom): -4.8062
! Symmetry: P4/mmm
! V (Å³/atom): 20.86
&SYSTEM
  ibrav = 0, nat = 4, ntyp = 3
/
ATOMIC_SPECIES
Tm 168.93 Tm.upf
Cu 63.55 Cu.upf
Ce 140.12 Ce.upf
ATOMIC_POSITIONS crystal
Tm 0.5000 0.5000 0.0000
Cu 0.0000 0.0000 0.7732
Cu 0.0000 0.0000 0.2268
Ce 0.5000 0.5000 0.5000
CELL_PARAMETERS angstrom
3.4026 0.0000 0.0000
0.0000 3.4026 0.0000
0.0000 0.0000 7.2080